Record 1
PBE TaTlIn4, relaxed; space group = F-43m (216); total moment = 0.00 μB per formula unit; formation energy = 0.5650 eV/atom
1.0
0.000 4.163 4.163
4.163 0.000 4.163
4.163 4.163 0.000
Ta Tl In
1 1 4
Direct
0.000 0.000 0.000 Ta
0.750 0.750 0.750 Tl
0.375 0.375 0.375 In
0.375 0.375 0.876 In
0.375 0.876 0.375 In
0.876 0.375 0.375 In

***

Record 2
PBE TaTlIn2, relaxed; space group = P4mm (99); total moment = 0.00 μB per formula unit; formation energy = 0.3484 eV/atom
1.0
3.084 0.000 0.000
0.000 3.084 0.000
0.000 0.000 9.881
Ta Tl In
1 1 2
Direct
0.000 0.000 0.000 Ta
0.500 0.500 0.233 Tl
0.000 0.000 0.513 In
0.500 0.500 0.785 In

***

Record 3
PBE TaTlIn2, relaxed; space group = Imm2 (44); total moment = 0.00 μB per formula unit; formation energy = 0.3562 eV/atom
1.0
-1.488 2.506 7.098
1.488 -2.506 7.098
1.488 2.506 -7.098
Ta Tl In
1 1 2
Direct
0.000 0.000 0.000 Ta
0.188 0.688 0.500 Tl
0.500 0.500 0.000 In
0.821 0.321 0.500 In

***

Record 4
PBE TaTlIn2, relaxed; space group = Immm (71); total moment = 0.00 μB per formula unit; formation energy = 0.3811 eV/atom
1.0
-1.484 2.533 6.907
1.484 -2.533 6.907
1.484 2.533 -6.907
Ta Tl In
1 1 2
Direct
0.000 0.000 0.000 Ta
0.500 0.500 0.000 Tl
0.188 0.688 0.500 In
0.812 0.312 0.500 In

***

Record 5
PBE Ta3TlIn, relaxed; space group = Pm-3m (221); total moment = 0.00 μB per formula unit; formation energy = 2.1564 eV/atom
1.0
5.078 0.000 0.000
0.000 5.078 0.000
0.000 0.000 5.078
Ta Tl In
3 1 1
Direct
0.000 0.000 0.500 Ta
0.000 0.500 0.000 Ta
0.500 0.000 0.000 Ta
0.000 0.000 0.000 Tl
0.500 0.500 0.500 In

***

Record 6
PBE TaTlIn2, relaxed; space group = P4/mmm (123); total moment = 0.00 μB per formula unit; formation energy = 0.2524 eV/atom
1.0
3.084 0.000 0.000
0.000 3.084 0.000
0.000 0.000 9.919
Ta Tl In
1 1 2
Direct
0.000 0.000 0.000 Ta
0.000 0.000 0.500 Tl
0.500 0.500 0.216 In
0.500 0.500 0.784 In

***

Record 7
PBE TaTlIn2, relaxed; space group = I-4m2 (119); total moment = 0.00 μB per formula unit; formation energy = 0.4395 eV/atom
1.0
-2.130 2.130 4.834
2.130 -2.130 4.834
2.130 2.130 -4.834
Ta Tl In
1 1 2
Direct
0.000 0.000 0.000 Ta
0.250 0.750 0.500 Tl
0.500 0.500 0.000 In
0.750 0.250 0.500 In

***

Record 8
PBE TaTlIn2, relaxed; space group = P4/mmm (123); total moment = 0.00 μB per formula unit; formation energy = 0.3981 eV/atom
1.0
5.476 0.000 0.000
0.000 5.476 0.000
0.000 0.000 3.073
Ta Tl In
1 1 2
Direct
0.000 0.000 0.000 Ta
0.500 0.500 0.000 Tl
0.000 0.500 0.500 In
0.500 0.000 0.500 In

***

Record 9
PBE TaTl2ZnIn, relaxed; space group = P4/mmm (123); total moment = 0.00 μB per formula unit; formation energy = 1.2071 eV/atom
1.0
5.186 0.000 0.000
0.000 5.186 0.000
0.000 0.000 4.972
Ta Tl Zn In
1 2 1 1
Direct
0.000 0.000 0.000 Ta
0.000 0.500 0.500 Tl
0.500 0.000 0.500 Tl
0.500 0.500 0.500 Zn
0.500 0.500 0.000 In

***

Record 10
PBE Zr2TaTlIn, relaxed; space group = P4/mmm (123); total moment = 0.49 μB per formula unit; formation energy = 1.2273 eV/atom
1.0
5.257 0.000 0.000
0.000 5.257 0.000
0.000 0.000 5.071
Zr Ta Tl In
2 1 1 1
Direct
0.000 0.500 0.000 Zr
0.500 0.000 0.000 Zr
0.000 0.000 0.500 Ta
0.500 0.500 0.500 Tl
0.000 0.000 0.000 In

***

Record 11
PBE UTaIn, relaxed; space group = C2/m (12); total moment = 1.56 μB per formula unit; formation energy = 0.4100 eV/atom
1.0
7.809 -1.466 0.000
7.809 1.466 0.000
-2.308 0.000 5.978
U Ta In
2 2 2
Direct
0.136 0.136 0.448 U
0.864 0.864 0.552 U
0.228 0.228 0.156 Ta
0.772 0.772 0.844 Ta
0.437 0.437 0.158 In
0.563 0.563 0.842 In

***

Record 12
PBE TaVIn2, relaxed; space group = Fm-3m (225); total moment = 1.28 μB per formula unit; formation energy = 0.4539 eV/atom
1.0
0.000 3.365 3.365
3.365 0.000 3.365
3.365 3.365 0.000
Ta V In
1 1 2
Direct
0.000 0.000 0.000 Ta
0.500 0.500 0.500 V
0.250 0.250 0.250 In
0.750 0.750 0.750 In